Computed, not measured: a relaxed structure of Li3Au at the GGA-PBEsol level of DFT.

Computed properties:
As for the total energy: -2.791 eV/atom. As for the formation energy: -0.335 eV/atom. The value obtained for the calculated density is 5.979 g cm⁻³.

Unit cell a=3.925 b=3.925 c=3.925 alpha=90.00 beta=90.00 gamma=90.00
Fractional coordinates of all 4 atoms:
Au: 0.000 0.000 0.000
Li: 0.000 0.500 0.500
Li: 0.500 0.000 0.500
Li: 0.500 0.500 0.000

Computed, not measured: a relaxed structure of Be2InBr at the GGA-PBEsol level of DFT.

Computed properties:
As for the total energy: -2.815 eV/atom. The value obtained for the calculated density is 5.254 g cm⁻³. For the formation energy (no corrections), the calculation gives 0.398 eV per atom. The energy relative to the lowest polymorph listed for this composition comes out at 0 meV/atom.

Unit cell a=3.345 b=3.345 c=7.204 alpha=76.58 beta=76.58 gamma=60.00
Fractional coordinates of all 4 atoms:
Be: 0.249 0.249 0.252
Be: 0.751 0.751 0.748
Br: 0.500 0.500 0.500
In: 0.000 0.000 0.000

Computed, not measured: a relaxed structure of Be3SbMo at the GGA-PBEsol level of DFT.

Computed properties:
As for the total energy: -3.837 eV/atom. The value obtained for the calculated density is 4.579 g cm⁻³. For the formation energy (no corrections), the calculation gives 1.828 eV per atom. The energy relative to the lowest polymorph listed for this composition comes out at 645 meV/atom.

Unit cell a=4.461 b=4.461 c=4.461 alpha=90.00 beta=90.00 gamma=90.00
Last column: magnetic moment on the atom in μB.
Fractional coordinates of all 5 atoms:
Sb: 0.000 0.000 0.000  0.07
Mo: 0.500 0.500 0.500  2.70
Be: 0.000 0.500 0.000  -0.03
Be: 0.000 0.000 0.500  -0.03
Be: 0.500 0.000 0.000  -0.03

Computed, not measured: a relaxed structure of Cr4Re11 at the GGA-PBEsol level of DFT.

Computed properties:
As for the total energy: -12.424 eV/atom. As for the formation energy: 0.084 eV/atom. The value obtained for the calculated density is 17.734 g cm⁻³.

Unit cell a=4.747 b=9.434 c=9.434 alpha=90.00 beta=90.00 gamma=90.00
Fractional coordinates of all 30 atoms:
Cr: 0.244 0.317 0.317
Cr: 0.244 0.683 0.683
Cr: 0.744 0.183 0.817
Cr: 0.744 0.817 0.183
Cr: 0.256 0.183 0.817
Cr: 0.256 0.817 0.183
Cr: 0.756 0.317 0.317
Cr: 0.756 0.683 0.683
Re: 0.000 0.000 0.000
Re: 0.500 0.500 0.500
Re: 0.000 0.401 0.599
Re: 0.000 0.599 0.401
Re: 0.500 0.901 0.901
Re: 0.500 0.099 0.099
Re: 0.000 0.135 0.537
Re: 0.000 0.865 0.463
Re: 0.500 0.963 0.635
Re: 0.500 0.037 0.365
Re: 0.500 0.365 0.037
Re: 0.500 0.635 0.963
Re: 0.000 0.537 0.135
Re: 0.000 0.463 0.865
Re: 0.000 0.066 0.262
Re: 0.000 0.934 0.738
Re: 0.500 0.238 0.566
Re: 0.500 0.762 0.434
Re: 0.500 0.434 0.762
Re: 0.500 0.566 0.238
Re: 0.000 0.262 0.066
Re: 0.000 0.738 0.934

Computed, not measured: a relaxed structure of Ni3B2O6 at the GGA-PBEsol level of DFT.

Computed properties:
As for the total energy: -7.198 eV/atom. The value obtained for the calculated density is 5.022 g cm⁻³. For the formation energy (no corrections), the calculation gives -1.380 eV per atom.

Unit cell a=4.409 b=5.353 c=8.229 alpha=90.00 beta=90.00 gamma=90.00
Last column: magnetic moment on the atom in μB.
Fractional coordinates of all 22 atoms:
Ni: 0.500 0.500 0.500  1.52
Ni: 0.500 0.000 0.684  1.59
Ni: 0.000 0.500 0.816  1.59
Ni: 0.000 0.000 0.000  1.52
Ni: 0.500 0.000 0.316  1.59
Ni: 0.000 0.500 0.184  1.59
B: 0.542 0.255 0.000  0.02
B: 0.458 0.745 0.000  0.02
B: 0.958 0.755 0.500  0.02
B: 0.042 0.245 0.500  0.02
O: 0.242 0.327 0.000  0.17
O: 0.758 0.673 0.000  0.17
O: 0.258 0.827 0.500  0.17
O: 0.742 0.173 0.500  0.17
O: 0.704 0.201 0.142  0.19
O: 0.296 0.799 0.142  0.19
O: 0.796 0.701 0.358  0.19
O: 0.204 0.299 0.358  0.19
O: 0.296 0.799 0.858  0.19
O: 0.704 0.201 0.858  0.19
O: 0.204 0.299 0.642  0.19
O: 0.796 0.701 0.642  0.19

Computed, not measured: a relaxed structure of Cs2NaCoF6 at the GGA-PBEsol level of DFT.

Computed properties:
As for the total energy: -4.736 eV/atom. The value obtained for the calculated density is 4.768 g cm⁻³. For the formation energy (no corrections), the calculation gives -2.477 eV per atom.

Unit cell a=6.120 b=6.120 c=10.525 alpha=73.10 beta=73.10 gamma=60.00
Last column: magnetic moment on the atom in μB.
Fractional coordinates of all 20 atoms:
Cs: 0.717 0.717 0.849  0.00
Cs: 0.872 0.872 0.383  0.00
Cs: 0.283 0.283 0.151  0.00
Cs: 0.128 0.128 0.617  0.00
Na: 0.596 0.596 0.211  0.00
Na: 0.404 0.404 0.789  0.00
Co: 0.000 0.000 0.000  0.14
Co: 0.500 0.500 0.500  0.15
F: 0.820 0.253 0.106  0.00
F: 0.180 0.747 0.894  0.00
F: 0.253 0.820 0.106  0.00
F: 0.397 0.818 0.389  0.00
F: 0.603 0.603 0.611  0.00
F: 0.180 0.180 0.894  0.00
F: 0.397 0.397 0.389  0.00
F: 0.820 0.820 0.106  0.00
F: 0.182 0.603 0.611  0.00
F: 0.747 0.180 0.894  0.00
F: 0.603 0.182 0.611  0.00
F: 0.818 0.397 0.389  0.00

Computed, not measured: a relaxed structure of NaCaCl2 at the GGA-PBEsol level of DFT.

Computed properties:
As for the total energy: -3.592 eV/atom. The value obtained for the calculated density is 1.627 g cm⁻³. For the formation energy (no corrections), the calculation gives -1.705 eV per atom.

Unit cell a=4.014 b=4.014 c=10.071 alpha=78.50 beta=78.50 gamma=60.00
Fractional coordinates of all 4 atoms:
Na: 0.000 0.000 0.000
Ca: 0.500 0.500 0.500
Cl: 0.882 0.882 0.355
Cl: 0.118 0.118 0.645

Computed, not measured: a relaxed structure of Ni5Pt at the GGA-PBEsol level of DFT.

Computed properties:
As for the total energy: -6.328 eV/atom. As for the formation energy: -0.036 eV/atom. The value obtained for the calculated density is 12.052 g cm⁻³.

Unit cell a=3.562 b=3.559 c=5.601 alpha=71.48 beta=90.00 gamma=90.00
Last column: magnetic moment on the atom in μB.
Fractional coordinates of all 6 atoms:
Ni: 0.500 0.329 0.342  0.69
Ni: 0.000 0.171 0.658  0.70
Ni: 0.500 0.000 0.000  0.60
Ni: 0.000 0.829 0.342  0.70
Ni: 0.500 0.671 0.658  0.69
Pt: 0.000 0.500 0.000  0.30

Computed, not measured: a relaxed structure of MgTaIr2 at the GGA-PBEsol level of DFT.

Computed properties:
As for the total energy: -9.012 eV/atom. As for the formation energy: -0.533 eV/atom. The value obtained for the calculated density is 15.940 g cm⁻³. The energy relative to the lowest polymorph listed for this composition comes out at 37 meV/atom.

Unit cell a=2.956 b=3.466 c=5.998 alpha=90.00 beta=90.00 gamma=90.00
Fractional coordinates of all 4 atoms:
Mg: 0.500 0.500 0.000
Ir: 0.000 0.000 0.747
Ir: 0.000 0.000 0.253
Ta: 0.500 0.500 0.500

Computed, not measured: a relaxed structure of NbSnPt3 at the GGA-PBEsol level of DFT.

Computed properties:
As for the total energy: -5.986 eV/atom. As for the formation energy: 1.209 eV/atom. The value obtained for the calculated density is 12.012 g cm⁻³.

Unit cell a=4.794 b=4.794 c=4.794 alpha=90.00 beta=90.00 gamma=90.00
Last column: magnetic moment on the atom in μB.
Fractional coordinates of all 5 atoms:
Nb: 0.500 0.500 0.500  1.82
Sn: 0.000 0.000 0.000  -0.02
Pt: 0.000 0.500 0.000  0.01
Pt: 0.000 0.000 0.500  0.01
Pt: 0.500 0.000 0.000  0.01

Computed, not measured: a relaxed structure of Ba2CaMnFe2F14 at the GGA-PBEsol level of DFT.

Computed properties:
As for the total energy: -6.047 eV/atom. The value obtained for the calculated density is 4.589 g cm⁻³. For the formation energy (no corrections), the calculation gives -2.992 eV per atom.

Unit cell a=5.378 b=7.294 c=14.837 alpha=91.51 beta=90.00 gamma=111.63
Last column: magnetic moment on the atom in μB.
Fractional coordinates of all 40 atoms:
Ba: 0.359 0.607 0.879  0.01
Ba: 0.641 0.393 0.121  0.01
Ba: 0.752 0.393 0.621  0.01
Ba: 0.248 0.607 0.379  0.01
Ca: 0.078 0.000 0.750  0.01
Ca: 0.922 0.000 0.250  0.01
Mn: 0.000 0.000 0.500  4.03
Mn: 0.000 0.000 0.000  4.03
Fe: 0.402 0.763 0.625  4.02
Fe: 0.598 0.237 0.375  4.02
Fe: 0.639 0.237 0.875  4.02
Fe: 0.361 0.763 0.125  4.02
F: 0.435 0.026 0.657  0.10
F: 0.565 0.974 0.343  0.10
F: 0.409 0.974 0.843  0.10
F: 0.591 0.026 0.157  0.10
F: 0.340 0.254 0.956  0.10
F: 0.660 0.746 0.044  0.10
F: 0.086 0.746 0.544  0.10
F: 0.914 0.254 0.456  0.10
F: 0.457 0.322 0.776  0.09
F: 0.543 0.678 0.224  0.09
F: 0.135 0.678 0.724  0.09
F: 0.865 0.322 0.276  0.09
F: 0.318 0.496 0.587  0.12
F: 0.682 0.504 0.413  0.12
F: 0.823 0.504 0.913  0.12
F: 0.177 0.496 0.087  0.12
F: 0.677 0.747 0.707  0.09
F: 0.323 0.253 0.293  0.09
F: 0.929 0.253 0.793  0.09
F: 0.071 0.747 0.207  0.09
F: 0.622 0.837 0.513  0.09
F: 0.378 0.163 0.487  0.09
F: 0.785 0.163 0.987  0.09
F: 0.215 0.837 0.013  0.09
F: 0.124 0.106 0.117  0.03
F: 0.876 0.894 0.883  0.03
F: 0.018 0.894 0.383  0.03
F: 0.982 0.106 0.617  0.03

Computed, not measured: a relaxed structure of CdTeIr at the GGA-PBEsol level of DFT.

Computed properties:
As for the total energy: -4.231 eV/atom. The value obtained for the calculated density is 10.907 g cm⁻³. For the formation energy (no corrections), the calculation gives 0.618 eV per atom.

Unit cell a=4.532 b=4.532 c=4.532 alpha=60.00 beta=60.00 gamma=60.00
Fractional coordinates of all 3 atoms:
Ir: 0.500 0.500 0.500
Te: 0.250 0.250 0.250
Cd: 0.000 0.000 0.000

Computed, not measured: a relaxed structure of CoPt2Pb at the GGA-PBEsol level of DFT.

Computed properties:
As for the total energy: -6.255 eV/atom. As for the formation energy: 0.161 eV/atom. The value obtained for the calculated density is 16.534 g cm⁻³.

Unit cell a=3.044 b=3.044 c=7.114 alpha=90.00 beta=90.00 gamma=90.00
Last column: magnetic moment on the atom in μB.
Fractional coordinates of all 4 atoms:
Pb: 0.500 0.500 0.500  0.00
Co: 0.500 0.500 0.000  1.90
Pt: 0.000 0.000 0.800  0.22
Pt: 0.000 0.000 0.200  0.22

Computed, not measured: a relaxed structure of KAuOF2 at the GGA-PBEsol level of DFT.

Computed properties:
As for the total energy: -2.739 eV/atom. The value obtained for the calculated density is 4.956 g cm⁻³. For the formation energy (no corrections), the calculation gives 0.093 eV per atom. The energy relative to the lowest polymorph listed for this composition comes out at 1305 meV/atom.

Unit cell a=4.583 b=4.583 c=4.627 alpha=90.00 beta=90.00 gamma=90.00
Last column: magnetic moment on the atom in μB.
Fractional coordinates of all 5 atoms:
K: 0.000 0.000 0.000  0.07
Au: 0.500 0.500 0.500  0.12
O: 0.000 0.000 0.500  1.23
F: 0.000 0.500 0.000  0.17
F: 0.500 0.000 0.000  0.17

Computed, not measured: a relaxed structure of BaSiW2 at the GGA-PBEsol level of DFT.

Computed properties:
As for the total energy: -7.715 eV/atom. The value obtained for the calculated density is 10.049 g cm⁻³. For the formation energy (no corrections), the calculation gives 1.163 eV per atom. The energy relative to the lowest polymorph listed for this composition comes out at 459 meV/atom.

Unit cell a=3.039 b=5.777 c=5.986 alpha=118.85 beta=104.71 gamma=90.00
Fractional coordinates of all 4 atoms:
Ba: 0.504 0.504 0.007
Si: 0.291 0.791 0.581
W: 0.006 0.006 0.012
W: 0.700 0.200 0.399

Computed, not measured: a relaxed structure of SrAu5 at the GGA-PBEsol level of DFT.

Computed properties:
As for the total energy: -4.017 eV/atom. As for the formation energy: -0.440 eV/atom. The value obtained for the calculated density is 14.409 g cm⁻³.

Unit cell a=4.591 b=5.575 c=5.575 alpha=120.00 beta=90.00 gamma=90.00
Fractional coordinates of all 6 atoms:
Sr: 0.000 0.000 0.000
Au: 0.000 0.333 0.667
Au: 0.000 0.667 0.333
Au: 0.500 0.000 0.500
Au: 0.500 0.500 0.000
Au: 0.500 0.500 0.500

Computed, not measured: a relaxed structure of Re3Mo at the GGA-PBEsol level of DFT.

Computed properties:
As for the total energy: -9.524 eV/atom. As for the formation energy: 3.417 eV/atom. The value obtained for the calculated density is 10.755 g cm⁻³.

Unit cell a=4.658 b=4.658 c=4.658 alpha=90.00 beta=90.00 gamma=90.00
Last column: magnetic moment on the atom in μB.
Fractional coordinates of all 4 atoms:
Mo: 0.000 0.000 0.000  -0.06
Re: 0.000 0.000 0.500  0.43
Re: 0.000 0.500 0.000  0.43
Re: 0.500 0.000 0.000  0.43

Computed, not measured: a relaxed structure of PtRh2Au at the GGA-PBEsol level of DFT.

Computed properties:
As for the total energy: -6.734 eV/atom. As for the formation energy: 0.058 eV/atom. The value obtained for the calculated density is 16.892 g cm⁻³. The energy relative to the lowest polymorph listed for this composition comes out at 0 meV/atom.

Unit cell a=2.739 b=2.739 c=7.835 alpha=90.00 beta=90.00 gamma=90.00
Fractional coordinates of all 4 atoms:
Au: 0.000 0.000 0.494
Rh: 0.000 0.000 0.008
Rh: 0.500 0.500 0.232
Pt: 0.500 0.500 0.766

Computed, not measured: a relaxed structure of CeNi2Sn2 at the GGA-PBEsol level of DFT.

Computed properties:
As for the total energy: -5.996 eV/atom. As for the formation energy: -0.510 eV/atom. The value obtained for the calculated density is 8.659 g cm⁻³.

Unit cell a=4.380 b=4.380 c=9.894 alpha=90.00 beta=90.00 gamma=90.00
Last column: magnetic moment on the atom in μB.
Fractional coordinates of all 10 atoms:
Ni: 0.000 0.000 0.000  -0.02
Ni: 0.000 0.500 0.373  -0.01
Ni: 0.500 0.500 0.000  -0.02
Ni: 0.500 0.000 0.627  -0.01
Sn: 0.500 0.000 0.874  0.00
Sn: 0.000 0.000 0.500  0.00
Sn: 0.000 0.500 0.126  0.00
Sn: 0.500 0.500 0.500  0.00
Ce: 0.000 0.500 0.765  0.39
Ce: 0.500 0.000 0.235  0.39

Computed, not measured: a relaxed structure of Be3Nb at the GGA-PBEsol level of DFT.

Computed properties:
As for the total energy: -5.934 eV/atom. As for the formation energy: -0.229 eV/atom. The value obtained for the calculated density is 4.798 g cm⁻³.

Unit cell a=4.541 b=4.541 c=7.450 alpha=72.26 beta=72.26 gamma=60.00
Fractional coordinates of all 12 atoms:
Be: 0.500 0.500 0.500
Be: 0.334 0.334 0.997
Be: 0.666 0.666 0.003
Be: 0.584 0.584 0.756
Be: 0.076 0.584 0.756
Be: 0.584 0.076 0.756
Be: 0.416 0.924 0.244
Be: 0.416 0.416 0.244
Be: 0.924 0.416 0.244
Nb: 0.000 0.000 0.000
Nb: 0.140 0.140 0.579
Nb: 0.860 0.860 0.421

Computed, not measured: a relaxed structure of BaTcO2F at the GGA-PBEsol level of DFT.

Computed properties:
As for the total energy: -5.205 eV/atom. The value obtained for the calculated density is 4.500 g cm⁻³. For the formation energy (no corrections), the calculation gives -0.037 eV per atom.

Unit cell a=4.714 b=4.714 c=4.754 alpha=90.00 beta=90.00 gamma=90.00
Last column: magnetic moment on the atom in μB.
Fractional coordinates of all 5 atoms:
F: 0.000 0.000 0.500  0.03
Ba: 0.000 0.000 0.000  0.01
O: 0.000 0.500 0.000  0.12
O: 0.500 0.000 0.000  0.12
Tc: 0.500 0.500 0.500  4.33

Computed, not measured: a relaxed structure of YIn3Ga at the GGA-PBEsol level of DFT.

Computed properties:
As for the total energy: -3.103 eV/atom. As for the formation energy: 0.719 eV/atom. The value obtained for the calculated density is 4.440 g cm⁻³.

Unit cell a=5.730 b=5.730 c=5.730 alpha=90.00 beta=90.00 gamma=90.00
Fractional coordinates of all 5 atoms:
Y: 0.000 0.000 0.000
Ga: 0.500 0.500 0.500
In: 0.000 0.500 0.000
In: 0.000 0.000 0.500
In: 0.500 0.000 0.000

Computed, not measured: a relaxed structure of Mg2HgN at the GGA-PBEsol level of DFT.

Computed properties:
As for the total energy: -2.826 eV/atom. The value obtained for the calculated density is 6.846 g cm⁻³. For the formation energy (no corrections), the calculation gives 0.306 eV per atom.

Unit cell a=4.486 b=4.486 c=4.486 alpha=60.00 beta=60.00 gamma=60.00
Fractional coordinates of all 4 atoms:
Mg: 0.250 0.250 0.250
Mg: 0.750 0.750 0.750
Hg: 0.500 0.500 0.500
N: 0.000 0.000 0.000